<one>
This record from Alexandria describes a geometry-optimized Ba4Na2Ir structure. The functional is GGA-PBE.

Volume in Å³ per atom: 49.0

Lattice parameters (Å, degrees): 9.2138 8.1292 9.6808 90.00 108.95 90.00
Sites, in units of the cell vectors:
Ba1 0.0264 0.2500 0.2196
Ba2 0.3371 0.5024 0.5817
Ba3 0.3371 0.9976 0.5817
Ba4 0.3788 0.2500 0.0433
Ba5 0.6212 0.7500 0.9567
Ba6 0.6629 0.0024 0.4183
Ba7 0.6629 0.4976 0.4183
Ba8 0.9736 0.7500 0.7804
Na1 0.0194 0.2500 0.6852
Na2 0.2902 0.7500 0.1873
Na3 0.7098 0.2500 0.8127
Na4 0.9806 0.7500 0.3148
Ir1 0.3798 0.2500 0.3547
Ir2 0.6202 0.7500 0.6453

=====

<two>
This record from Alexandria describes a geometry-optimized Ba4Na2Ir structure. The functional is GGA-PBE.

Volume in Å³ per atom: 53.3

Lattice parameters (Å, degrees): 10.6700 10.6700 10.6700 146.26 146.26 48.46
Sites, in units of the cell vectors:
Ba1 0.0000 0.5000 0.5000
Ba2 0.1574 0.1574 0.0000
Ba3 0.5000 0.0000 0.5000
Ba4 0.8426 0.8426 0.0000
Na1 0.3618 0.3618 0.0000
Na2 0.6382 0.6382 0.0000
Ir1 0.0000 0.0000 0.0000

=====

Among the structures above, stability is smallest for <one>.